An optimized crystal structure of Li3VF6, computed with PBE+U.

The relative energy among the computed polymorphs comes out at 36 meV/atom. Its crystal system is monoclinic. As for the space group: Cc, No. 9.

```
20
Lattice="4.598 -2.614 0.000 4.598 2.614 0.000 -1.525 0.000 10.038" Properties=species:S:1:pos:R:3 pbc="T T T"
Li 3.843 1.636 2.415
Li 3.836 1.662 5.019
Li 6.215 0.992 1.370
Li 3.080 -1.636 7.434
Li 4.598 -1.662 0.000
Li 5.453 -0.992 6.389
V 1.619 0.930 9.557
V 2.381 -0.930 4.538
F 2.878 2.014 8.588
F 1.671 0.169 0.612
F 2.727 0.727 3.614
F 0.909 -0.169 5.631
F 5.591 1.171 3.194
F 4.507 0.243 0.832
F 1.964 -0.727 8.633
F 3.744 -0.243 5.851
F 6.922 0.083 5.829
F 3.640 -2.014 3.569
F 7.685 -0.083 0.810
F 4.828 -1.171 8.213
```